Here is a relaxed structure of NaMg2SiTe4 from Alexandria via LeMat-Bulk. Energies are from GGA-PBE.

Summary:
As for the formation energy without anion corrections: -500 meV per atom. The calculation puts the total moment at 0.000 μB per atom. The value obtained for the calculated total energy is -3.3125 eV per atom. Its crystal system is orthorhombic. The volume comes out at 35.23 Å³ per atom.

Cell: 9.6103 9.6211 12.1919 Å, 90.00 90.00 90.00°
With the nearest neighbours (Å) after each atom.
Space group Fmm2 (No. 42)
One atom of each set of equivalent atoms:
Na: 0.0000 0.0000 0.0000  4 Te 3.05
Mg: 0.2500 0.2500 0.2494  4 Te 2.84
Si: 0.0000 0.0000 0.4991  4 Te 2.68
Te: 0.0000 0.2271 0.6269  1 Si 2.68, 2 Mg 2.84
Te: 0.2276 0.0000 0.3716  1 Si 2.68, 2 Mg 2.84

***

Here is a relaxed structure of CsSn8Au2 from Alexandria via LeMat-Bulk. Energies are from GGA-PBE.

Summary:
The calculation puts the total moment at 0.000 μB per atom. The value obtained for the calculated total energy is -3.6012 eV per atom. Its crystal system is tetragonal. The volume comes out at 38.51 Å³ per atom.

Cell: 6.4515 6.4515 10.1786 Å, 90.00 90.00 90.00°
With the nearest neighbours (Å) after each atom.
Space group P4/mmm (No. 123)
One atom of each set of equivalent atoms:
Cs: 0.0000 0.0000 0.0000  8 Sn 4.05
Sn: 0.2524 0.2524 0.3271  2 Au 2.88, 2 Sn 3.20
Au: 0.0000 0.5000 0.5000  8 Sn 2.88

***

Here is a relaxed structure of KNb2CdCl from Alexandria via LeMat-Bulk. Energies are from GGA-PBE.

Summary:
As for the formation energy without anion corrections: 726 meV per atom. The calculation puts the total moment at 0.000 μB per atom. The value obtained for the calculated total energy is -4.0741 eV per atom. Its crystal system is tetragonal. The volume comes out at 24.06 Å³ per atom.

Cell: 4.6652 4.6652 5.5285 Å, 90.00 90.00 90.00°
With the nearest neighbours (Å) after each atom.
Space group P4/mmm (No. 123)
One atom of each set of equivalent atoms:
K: 0.0000 0.0000 0.0000  2 Cl 2.76
Nb: 0.0000 0.5000 0.5000  2 Cl 2.33
Cd: 0.5000 0.5000 0.0000  4 K 3.30, 8 Nb 3.62
Cl: 0.0000 0.0000 0.5000  4 Nb 2.33

***

Here is a relaxed structure of Pm2SiSe from Alexandria via LeMat-Bulk. Energies are from GGA-PBE.

Summary:
As for the formation energy without anion corrections: -1017 meV per atom. The calculation puts the total moment at 0.000 μB per atom. The value obtained for the calculated total energy is -5.6190 eV per atom. Its crystal system is tetragonal. The volume comes out at 23.95 Å³ per atom.

Cell: 3.5180 3.5180 7.7401 Å, 90.00 90.00 90.00°
With the nearest neighbours (Å) after each atom.
Space group P4/mmm (No. 123)
One atom of each set of equivalent atoms:
Pm: 0.0000 0.0000 0.2494  4 Se 3.15, 4 Si 3.15, 4 Pm 3.52
Si: 0.5000 0.5000 0.5000  8 Pm 3.15, 4 Si 3.52
Se: 0.5000 0.5000 0.0000  8 Pm 3.15, 4 Se 3.52

***

Here is a relaxed structure of Pu2Tl3BiS6 from Alexandria via LeMat-Bulk. Energies are from GGA-PBE.

Summary:
As for the formation energy without anion corrections: -944 meV per atom. The calculation puts the total moment at 0.833 μB per atom. The value obtained for the calculated total energy is -6.3113 eV per atom. Its crystal system is monoclinic. The volume comes out at 27.23 Å³ per atom.

Cell: 7.1089 12.3060 7.8356 Å, 90.00 107.55 90.00°
With the nearest neighbours (Å) after each atom.
Space group C2/m (No. 12)
One atom of each set of equivalent atoms:
Pu: 0.0000 0.1667 0.0000  6 S 2.77
Tl: 0.0000 0.0000 0.5000  6 S 3.21-3.29
Tl: 0.0000 0.3334 0.5000  6 S 3.21-3.29
Bi: 0.0000 0.5000 0.0000  6 S 2.86
S: 0.2230 0.0000 0.1997  2 Pu 2.77, 1 Bi 2.86
S: 0.2384 0.3284 0.2006  2 Pu 2.77, 1 Bi 2.86

***

Here is a relaxed structure of CrTc2GeC from Alexandria via LeMat-Bulk. Energies are from GGA-PBE.

Summary:
The calculation puts the total moment at 0.374 μB per atom. The value obtained for the calculated total energy is -8.7357 eV per atom. Its crystal system is tetragonal. The volume comes out at 12.96 Å³ per atom.

Cell: 4.0906 4.0906 3.8736 Å, 90.00 90.00 90.00°
With the nearest neighbours (Å) after each atom.
Space group P4/mmm (No. 123)
One atom of each set of equivalent atoms:
Cr: 0.0000 0.0000 0.0000  2 C 1.94
Tc: 0.0000 0.5000 0.5000  2 C 2.05
Ge: 0.5000 0.5000 0.0000  8 Tc 2.82, 4 Cr 2.89
C: 0.0000 0.0000 0.5000  2 Cr 1.94, 4 Tc 2.05

***

Here is a relaxed structure of Tl2CdRe from Alexandria via LeMat-Bulk. Energies are from GGA-PBE.

Summary:
The calculation puts the total moment at 0.000 μB per atom. The value obtained for the calculated total energy is -3.4760 eV per atom. Its crystal system is cubic. The volume comes out at 21.38 Å³ per atom.

Cell: 6.9939 6.9939 6.9939 Å, 90.00 90.00 90.00°
With the nearest neighbours (Å) after each atom.
Space group Fm-3m (No. 225)
One atom of each set of equivalent atoms:
Tl: 0.2500 0.2500 0.2500  4 Cd 3.03, 4 Re 3.03
Cd: 0.0000 0.0000 0.0000  8 Tl 3.03
Re: 0.0000 0.0000 0.5000  8 Tl 3.03

***

Here is a relaxed structure of Ce2FeOs3 from Alexandria via LeMat-Bulk. Energies are from GGA-PBE.

Summary:
The calculation puts the total moment at 0.174 μB per atom. The value obtained for the calculated total energy is -9.2210 eV per atom. Its crystal system is trigonal. The volume comes out at 17.84 Å³ per atom.

Cell: 5.4163 5.4163 12.6379 Å, 90.00 90.00 120.00°
With the nearest neighbours (Å) after each atom.
Space group R-3m (No. 166, hexagonal axes)
One atom of each set of equivalent atoms:
Ce: 0.0000 0.0000 0.1224  9 Os 3.09-3.12, 4 Ce 3.09-3.32, 3 Fe 3.18
Fe: 0.0000 0.0000 0.5000  6 Os 2.62
Os: 0.0000 0.5000 0.0000  2 Fe 2.62, 4 Os 2.71

***

> What is the calculated total energy in the fourth record?

-5.6190 eV per atom

***

> The lowest calculated total energy belongs to which entry?

Ce2FeOs3